Here is VCuIr2F after structural relaxation from Alexandria via LeMat-Bulk. Energies are from PBE with a Hubbard U.

Geometry as POSCAR:
```
VCuIr2F
1.0
4.4630 0.0000 0.0000
0.0000 4.4630 0.0000
0.0000 0.0000 5.0134
V Cu Ir F
1 1 2 1
Direct
0.0000 0.0000 0.0000
0.0000 0.0000 0.5000
0.0000 0.5000 0.5000
0.5000 0.0000 0.5000
0.5000 0.5000 0.0000
```

D(E_F), states/eV/f.u.: 7.4
Symmetry: P4/mmm (123)
Total energy, eV per atom: -4.83